# KH3Au, relaxed, DFT GGA-PBE
# Volume (Å³ per atom): 16.1
# Calculated total energy (eV/atom): -2.99
data_KH3Au
_symmetry_space_group_name_H-M 'P 1 21/c 1'
_symmetry_Int_Tables_number 14
_cell_length_a 7.1658
_cell_length_b 6.4219
_cell_length_c 8.8143
_cell_angle_alpha 90.00
_cell_angle_beta 127.61
_cell_angle_gamma 90.00
loop_
_symmetry_equiv_pos_as_xyz
'x,y,z'
'-x,-y,-z'
'-x,y+1/2,-z+1/2'
'x,-y+1/2,z+1/2'
loop_
_atom_site_label
_atom_site_type_symbol
_atom_site_fract_x
_atom_site_fract_y
_atom_site_fract_z
K1 K 0.1599 0.1484 0.2079
H1 H 0.1046 0.7015 0.1731
H2 H 0.3266 0.0520 0.9516
H3 H 0.4684 0.1474 0.6779
Au1 Au 0.3943 0.6555 0.3482



# Tl2In8Ga3, relaxed, DFT GGA-PBE
# ΔE_f (eV/atom): 0.04
# Volume (Å³ per atom): 26.7
data_Tl2In8Ga3
_symmetry_space_group_name_H-M 'P 1 2/m 1'
_symmetry_Int_Tables_number 10
_cell_length_a 7.1348
_cell_length_b 4.1541
_cell_length_c 11.7288
_cell_angle_alpha 90.00
_cell_angle_beta 92.04
_cell_angle_gamma 90.00
loop_
_symmetry_equiv_pos_as_xyz
'x,y,z'
'-x,-y,-z'
'-x,y,-z'
'x,-y,z'
loop_
_atom_site_label
_atom_site_type_symbol
_atom_site_fract_x
_atom_site_fract_y
_atom_site_fract_z
Tl1 Tl 0.2148 0.0000 0.4477
In1 In 0.1446 0.5000 0.2061
In2 In 0.1625 0.0000 0.7347
In3 In 0.4463 0.0000 0.1278
In4 In 0.4590 0.5000 0.6421
Ga1 Ga 0.0000 0.0000 0.0000
Ga2 Ga 0.2479 0.5000 0.9435



# AlOs3Pt, relaxed, DFT GGA-PBE
# ΔE_f (eV/atom): 2.47
# Volume (Å³ per atom): 21.2
data_AlOs3Pt
_symmetry_space_group_name_H-M 'P m -3 m'
_symmetry_Int_Tables_number 221
_symmetry_space_group_name_Hall '-P 4 2 3'
_cell_length_a 4.7360
_cell_length_b 4.7360
_cell_length_c 4.7360
_cell_angle_alpha 90.00
_cell_angle_beta 90.00
_cell_angle_gamma 90.00
loop_
_atom_site_label
_atom_site_type_symbol
_atom_site_fract_x
_atom_site_fract_y
_atom_site_fract_z
Al1 Al 0.0000 0.0000 0.0000
Os1 Os 0.0000 0.5000 0.5000
Pt1 Pt 0.5000 0.5000 0.5000



# Ta3CrHg, relaxed, DFT GGA-PBE
# ΔE_f (eV/atom): 0.98
# Volume (Å³ per atom): 19.9
data_Ta3CrHg
_symmetry_space_group_name_H-M 'P m -3 m'
_symmetry_Int_Tables_number 221
_symmetry_space_group_name_Hall '-P 4 2 3'
_cell_length_a 4.6357
_cell_length_b 4.6357
_cell_length_c 4.6357
_cell_angle_alpha 90.00
_cell_angle_beta 90.00
_cell_angle_gamma 90.00
loop_
_atom_site_label
_atom_site_type_symbol
_atom_site_fract_x
_atom_site_fract_y
_atom_site_fract_z
Ta1 Ta 0.0000 0.0000 0.5000
Cr1 Cr 0.0000 0.0000 0.0000
Hg1 Hg 0.5000 0.5000 0.5000



# VTcMoN2, relaxed, DFT GGA-PBE
# E_form (uncorrected) (meV per atom): 1324
# Volume (Å³ per atom): 15.0
data_VTcMoN2
_symmetry_space_group_name_H-M 'P 4/m m m'
_symmetry_Int_Tables_number 123
_symmetry_space_group_name_Hall '-P 4 2'
_cell_length_a 3.7599
_cell_length_b 3.7599
_cell_length_c 5.3221
_cell_angle_alpha 90.00
_cell_angle_beta 90.00
_cell_angle_gamma 90.00
loop_
_atom_site_label
_atom_site_type_symbol
_atom_site_fract_x
_atom_site_fract_y
_atom_site_fract_z
V1 V 0.0000 0.0000 0.0000
Tc1 Tc 0.5000 0.5000 0.5000
Mo1 Mo 0.5000 0.5000 0.0000
N1 N 0.0000 0.5000 0.5000



# Rb2NaHg6, relaxed, DFT GGA-PBE
# ΔE_f (eV/atom): -0.22
# Volume (Å³ per atom): 33.2
data_Rb2NaHg6
_symmetry_space_group_name_H-M 'P 6/m m m'
_symmetry_Int_Tables_number 191
_symmetry_space_group_name_Hall '-P 6 2'
_cell_length_a 9.4881
_cell_length_b 9.4881
_cell_length_c 3.8379
_cell_angle_alpha 90.00
_cell_angle_beta 90.00
_cell_angle_gamma 120.00
loop_
_atom_site_label
_atom_site_type_symbol
_atom_site_fract_x
_atom_site_fract_y
_atom_site_fract_z
Rb1 Rb 0.3333 0.6667 0.0000
Na1 Na 0.0000 0.0000 0.0000
Hg1 Hg 0.0000 0.3222 0.5000



# Li3In2Ge, relaxed, DFT GGA-PBE
# ΔE_f (eV/atom): -0.24
# Volume (Å³ per atom): 18.8
data_Li3In2Ge
_symmetry_space_group_name_H-M 'C m m m'
_symmetry_Int_Tables_number 65
_symmetry_space_group_name_Hall '-C 2 2'
_cell_length_a 4.4449
_cell_length_b 13.0419
_cell_length_c 7.7629
_cell_angle_alpha 90.00
_cell_angle_beta 90.00
_cell_angle_gamma 90.00
loop_
_atom_site_label
_atom_site_type_symbol
_atom_site_fract_x
_atom_site_fract_y
_atom_site_fract_z
Li1 Li 0.0000 0.0000 0.2385
Li2 Li 0.0000 0.3276 0.2275
In1 In 0.0000 0.1668 0.5000
In2 In 0.0000 0.5000 0.0000
In3 In 0.0000 0.5000 0.5000
Ge1 Ge 0.0000 0.1662 0.0000



# ScWSe2, relaxed, DFT GGA-PBE
# E_form (uncorrected) (meV per atom): -129
# Volume (Å³ per atom): 24.0
data_ScWSe2
_symmetry_space_group_name_H-M 'I -4 2 d'
_symmetry_Int_Tables_number 122
_symmetry_space_group_name_Hall 'I -4 2bw'
_cell_length_a 5.2825
_cell_length_b 5.2825
_cell_length_c 13.7843
_cell_angle_alpha 90.00
_cell_angle_beta 90.00
_cell_angle_gamma 90.00
loop_
_atom_site_label
_atom_site_type_symbol
_atom_site_fract_x
_atom_site_fract_y
_atom_site_fract_z
Sc1 Sc 0.0000 0.0000 0.0000
W1 W 0.0000 0.0000 0.5000
Se1 Se 0.2149 0.2500 0.6250